Entry 1:
Al4MoSe | PBE-GGA | optimized geometry

Summary:
Energy relative to the elements, uncorrected (eV per atom): 0.162
Total moment (μB per formula unit): 0.00
ρ (g/cm3): 4.771
DFT total energy (eV per atom): -4.7191

a b c (Å): 5.1826 5.1826 5.1826
angles (deg): 60.00 60.00 60.00
Atoms (fractional coordinates):
1 Al 0.1241 0.1241 0.1241
2 Al 0.1241 0.1241 0.6278
3 Al 0.1241 0.6278 0.1241
4 Al 0.6278 0.1241 0.1241
5 Mo 0.7500 0.7500 0.7500
6 Se 0.5000 0.5000 0.5000

Entry 2:
RbAl2Ge2 | PBE-GGA | optimized geometry

Summary:
ΔE_f (eV per atom): 0.18
Energy relative to the lowest polymorph listed for this composition (meV/atom): 318.7
Total moment (μB per formula unit): 0.00
ρ (g/cm3): 4.046
DFT total energy (eV per atom): -3.3556

a b c (Å): 8.5348 8.5348 3.2082
angles (deg): 90.00 90.00 90.00
Atoms (fractional coordinates):
1 Rb 0.0000 0.0000 0.0000
2 Rb 0.5000 0.5000 0.0000
3 Al 0.1279 0.3721 0.5000
4 Al 0.3721 0.8721 0.5000
5 Al 0.6279 0.1279 0.5000
6 Al 0.8721 0.6279 0.5000
7 Ge 0.1398 0.6398 0.0000
8 Ge 0.3602 0.1398 0.0000
9 Ge 0.6398 0.8602 0.0000
10 Ge 0.8602 0.3602 0.0000